Entry from Alexandria: Na4MgZr3S8 after structural relaxation (PBE-GGA).

Lattice parameters (Å, degrees): 7.992 7.992 7.992 55.71 55.71 55.71
Positions (direct):
Na 0.000 0.000 0.000
Na 0.000 0.500 0.500
Na 0.500 0.000 0.500
Na 0.500 0.500 0.000
Mg 0.500 0.500 0.500
Zr 0.000 0.000 0.500
Zr 0.000 0.500 0.000
Zr 0.500 0.000 0.000
S 0.240 0.740 0.740
S 0.241 0.241 0.241
S 0.260 0.260 0.760
S 0.260 0.760 0.260
S 0.740 0.240 0.740
S 0.740 0.740 0.240
S 0.759 0.759 0.759
S 0.760 0.260 0.260

- formation energy without anion corrections (meV per atom) = -1466

Entry from Alexandria: Na3Mg2ZrS6 after structural relaxation (PBE-GGA).

Lattice parameters (Å, degrees): 6.493 6.493 7.045 98.84 98.84 120.02
Positions (direct):
Na 0.000 0.000 0.000
Na 0.333 0.667 0.000
Na 0.667 0.333 0.000
Mg 0.167 0.833 0.500
Mg 0.833 0.167 0.500
Zr 0.500 0.500 0.500
S 0.098 0.427 0.282
S 0.243 0.243 0.717
S 0.427 0.098 0.282
S 0.573 0.902 0.718
S 0.757 0.757 0.283
S 0.902 0.573 0.718

- formation energy without anion corrections (meV per atom) = -1278